# GGA-PBE ThZn4, optimized geometry
# mass density: 8.65 g cm⁻³
# ΔE_f: -0.2727 eV per atom
# magnetic moment: 0.000 μB/atom
data_ThZn4
_chemical_formula_sum 'Th2 Zn8'
_cell_length_a 4.319
_cell_length_b 4.319
_cell_length_c 10.157
_cell_angle_alpha 90.00
_cell_angle_beta 90.00
_cell_angle_gamma 90.00
_space_group_name_H-M_alt 'I 4/m m m'
_space_group_IT_number 139
_space_group_name_Hall '-I 4 2'
loop_
_atom_site_label
_atom_site_type_symbol
_atom_site_fract_x
_atom_site_fract_y
_atom_site_fract_z
Th1 Th 0.000 0.000 0.000
Zn1 Zn 0.000 0.000 0.381
Zn2 Zn 0.000 0.500 0.250